[1]
Pa3Ag after structural relaxation. Source: Alexandria, functional PBE.

Cell lengths 4.550, 4.550, 5.590 Å; angles 114.02, 114.02, 90.00 degrees
Atoms (fractional coordinates):
Pa1 0.750 0.250 0.500
Pa2 0.250 0.750 0.500
Pa3 0.500 0.500 0.000
Ag1 0.000 0.000 0.000

Properties
* SG: I4/mmm, No. 139
* excess energy over the best structure of this formula in the dataset: 175 meV per atom
* crystal system: tetragonal
* formation enthalpy at 0 K: 21.55 kJ per mole of atoms

---

[2]
PaAg6 after structural relaxation. Source: Alexandria, functional PBE.

Cell lengths 6.346, 6.346, 6.346 Å; angles 109.47, 109.47, 109.47 degrees
Atoms (fractional coordinates):
Pa1 0.000 0.000 0.000
Ag1 0.250 0.750 0.500
Ag2 0.500 0.750 0.250
Ag3 0.250 0.500 0.750
Ag4 0.750 0.250 0.500
Ag5 0.500 0.250 0.750
Ag6 0.750 0.500 0.250

Properties
* SG: Im-3m, No. 229
* crystal system: cubic
* formation enthalpy at 0 K: 87.55 kJ per mole of atoms

---

[3]
Pa3Ag after structural relaxation. Source: Alexandria, functional PBE.

Cell lengths 3.141, 5.513, 6.314 Å; angles 115.89, 104.40, 90.00 degrees
Atoms (fractional coordinates):
Pa1 0.268 0.574 0.535
Pa2 0.500 0.521 0.000
Pa3 0.732 0.039 0.465
Ag1 0.000 0.032 0.000

Properties
* SG: Imm2, No. 44
* excess energy over the best structure of this formula in the dataset: 101 meV per atom
* crystal system: orthorhombic
* formation enthalpy at 0 K: 14.46 kJ per mole of atoms

---

[4]
PaAg4Pb after structural relaxation. Source: Alexandria, functional PBE.

Cell lengths 5.694, 5.694, 5.694 Å; angles 60.00, 60.00, 60.00 degrees
Atoms (fractional coordinates):
Pb1 0.000 0.000 0.000
Pa1 0.250 0.250 0.250
Ag1 0.625 0.625 0.126
Ag2 0.625 0.126 0.625
Ag3 0.625 0.625 0.625
Ag4 0.126 0.625 0.625

Properties
* SG: F-43m, No. 216
* crystal system: cubic
* formation enthalpy at 0 K: 16.46 kJ per mole of atoms

---

[5]
PaAgPdPb after structural relaxation. Source: Alexandria, functional PBE.

Cell lengths 4.979, 4.979, 4.979 Å; angles 60.00, 60.00, 60.00 degrees
Atoms (fractional coordinates):
Pb1 0.500 0.500 0.500
Pa1 0.000 0.000 0.000
Pd1 0.750 0.750 0.750
Ag1 0.250 0.250 0.250

Properties
* SG: F-43m, No. 216
* crystal system: cubic
* formation enthalpy at 0 K: -14.67 kJ per mole of atoms

---

[6]
PmPaAgPb after structural relaxation. Source: Alexandria, functional PBE.

Cell lengths 5.376, 5.376, 5.376 Å; angles 60.00, 60.00, 60.00 degrees
Atoms (fractional coordinates):
Pb1 0.750 0.750 0.750
Pa1 0.000 0.000 0.000
Ag1 0.250 0.250 0.250
Pm1 0.500 0.500 0.500

Properties
* SG: F-43m, No. 216
* crystal system: cubic
* formation enthalpy at 0 K: 3.00 kJ per mole of atoms

---

[7]
PuPaAgPb after structural relaxation. Source: Alexandria, functional PBE.

Cell lengths 5.313, 5.313, 5.313 Å; angles 60.00, 60.00, 60.00 degrees
Atoms (fractional coordinates):
Pb1 0.250 0.250 0.250
Pa1 0.500 0.500 0.500
Ag1 0.750 0.750 0.750
Pu1 0.000 0.000 0.000

Properties
* SG: F-43m, No. 216
* crystal system: cubic
* formation enthalpy at 0 K: 15.57 kJ per mole of atoms

---

[8]
PaAgPb2S5 after structural relaxation. Source: Alexandria, functional PBE.

Cell lengths 4.081, 9.030, 13.102 Å; angles 90.00, 90.00, 103.06 degrees
Atoms (fractional coordinates):
Pa1 0.780 0.560 0.528
Pa2 0.220 0.440 0.028
Ag1 0.573 0.146 0.948
Ag2 0.427 0.854 0.448
Pb1 0.898 0.796 0.793
Pb2 0.092 0.184 0.646
Pb3 0.102 0.204 0.293
Pb4 0.908 0.816 0.146
S1 0.369 0.739 0.002
S2 0.716 0.431 0.898
S3 0.505 0.010 0.781
S4 0.263 0.526 0.661
S5 0.927 0.854 0.568
S6 0.631 0.261 0.502
S7 0.284 0.569 0.398
S8 0.495 0.990 0.281
S9 0.737 0.474 0.161
S10 0.073 0.146 0.068

Properties
* formation energy (no corrections): -0.861 eV/atom
* SG: Cmc2_1, No. 36
* crystal system: orthorhombic